(1)
The following is a DFT calculation (PBE) of Hf2Th after structural relaxation.

Lattice parameters (Å, degrees): 6.018 6.018 6.018 60.00 60.00 60.00
Sites, in units of the cell vectors:
Hf  0.000  0.000  0.000
Hf  0.000  0.000  0.500
Hf  0.000  0.500  0.000
Hf  0.500  0.000  0.000
Th  0.375  0.375  0.375
Th  0.625  0.625  0.625

## Properties
excess energy over the best structure of this formula in the dataset	0.099	eV/atom
E_form	0.2114	eV per atom

(2)
The following is a DFT calculation (PBE) of NaSbOs2O after structural relaxation.

Lattice parameters (Å, degrees): 4.635 4.635 5.060 90.00 90.00 90.00
Sites, in units of the cell vectors:
Na  0.000  0.000  0.000
Sb  0.000  0.000  0.500
Os  0.000  0.500  0.000
Os  0.500  0.000  0.000
O  0.500  0.500  0.500

## Properties
raw formation energy	2.98	eV/atom